No. 1
Here is crystalline HoCuSe2 at its relaxed geometry from Alexandria. Energies are from PBE.

Cell and atoms, written as POSCAR:
```
HoCuSe2
1.0
4.107 0.000 0.000
0.000 6.546 0.000
0.000 0.000 13.974
Ho Se Cu
4 8 4
Direct
0.750 0.487 0.130 Ho
0.250 0.987 0.370 Ho
0.250 0.513 0.870 Ho
0.750 0.013 0.630 Ho
0.250 0.257 0.208 Se
0.750 0.250 0.955 Se
0.750 0.757 0.292 Se
0.250 0.750 0.545 Se
0.250 0.750 0.045 Se
0.750 0.250 0.455 Se
0.750 0.743 0.792 Se
0.250 0.243 0.708 Se
0.250 0.365 0.545 Cu
0.750 0.635 0.455 Cu
0.250 0.135 0.045 Cu
0.750 0.865 0.955 Cu
```

Uncorrected energy   -81.967 eV per cell
Formation energy without anion corrections   -1.2122 eV per atom



No. 2
Here is crystalline YTlIO2 at its relaxed geometry from Alexandria. Energies are from PBE.

Cell and atoms, written as POSCAR:
```
YTlIO2
1.0
4.499 0.000 0.000
0.000 4.499 0.000
0.000 0.000 6.394
O Y Tl I
2 1 1 1
Direct
0.000 0.500 0.000 O
0.500 0.000 0.000 O
0.000 0.000 0.000 Y
0.500 0.500 0.500 Tl
0.000 0.000 0.500 I
```

Uncorrected energy   -27.198 eV per cell
Polymorph energy (0 for the lowest one)   0 meV per atom
D(E_F)   4.86 states/eV/cell
Formation energy without anion corrections   -1.3802 eV per atom



No. 3
Here is crystalline CrWAu3 at its relaxed geometry from Alexandria. Energies are from PBE.

Cell and atoms, written as POSCAR:
```
CrWAu3
1.0
5.043 0.000 0.000
0.000 5.043 0.000
0.000 0.000 5.043
W Cr Au
1 1 3
Direct
0.000 0.000 0.000 W
0.500 0.500 0.500 Cr
0.000 0.000 0.500 Au
0.500 0.000 0.000 Au
0.000 0.500 0.000 Au
```

Uncorrected energy   -25.638 eV per cell
Polymorph energy (0 for the lowest one)   0 meV per atom
D(E_F)   2.99 states/eV/cell
Formation energy from the elements   1354.2 meV per atom



No. 4
Here is crystalline Ac4Pm5Nd at its relaxed geometry from Alexandria. Energies are from PBE.

Cell and atoms, written as POSCAR:
```
Ac4Pm5Nd
1.0
4.411 0.000 0.000
0.000 4.411 0.000
0.000 0.000 19.740
Pm Ac Nd
5 4 1
Direct
0.500 0.500 0.500 Pm
0.500 0.500 0.092 Pm
0.500 0.500 0.702 Pm
0.500 0.500 0.908 Pm
0.500 0.500 0.298 Pm
0.000 0.000 0.601 Ac
0.000 0.000 0.195 Ac
0.000 0.000 0.399 Ac
0.000 0.000 0.805 Ac
0.000 0.000 0.000 Nd
```

Uncorrected energy   -43.929 eV per cell
D(E_F)   19.94 states/eV/cell
Formation energy from the elements   102.5 meV per atom



No. 5
Here is crystalline MnFePtI2 at its relaxed geometry from Alexandria. Energies are from PBE.

Cell and atoms, written as POSCAR:
```
MnFePtI2
1.0
5.129 0.000 0.000
0.000 4.602 0.000
0.000 0.000 5.129
I Mn Fe Pt
2 1 1 1
Direct
0.000 0.000 0.500 I
0.500 0.000 0.000 I
0.000 0.000 0.000 Mn
0.000 0.500 0.000 Fe
0.500 0.500 0.500 Pt
```

Uncorrected energy   -20.925 eV per cell
D(E_F)   4.73 states/eV/cell
Formation energy without anion corrections   1.1696 eV per atom



No. 6
Here is crystalline Pm2NdDyTm5 at its relaxed geometry from Alexandria. Energies are from PBE.

Cell and atoms, written as POSCAR:
```
Pm2NdDyTm5
1.0
-3.398 -6.821 -4.182
7.924 -3.497 -0.735
-3.233 1.562 9.114
Nd Tm Pm Dy
2 10 4 2
Direct
0.250 0.250 0.500 Nd
0.750 0.750 0.500 Nd
0.427 0.347 0.274 Tm
0.573 0.653 0.726 Tm
0.847 0.927 0.274 Tm
0.927 0.427 0.274 Tm
0.073 0.573 0.726 Tm
0.653 0.153 0.726 Tm
0.153 0.073 0.726 Tm
0.500 0.500 0.000 Tm
0.000 0.000 0.000 Tm
0.347 0.847 0.274 Tm
0.884 0.616 0.000 Pm
0.616 0.116 0.000 Pm
0.116 0.384 0.000 Pm
0.384 0.884 0.000 Pm
0.750 0.250 0.500 Dy
0.250 0.750 0.500 Dy
```

Uncorrected energy   -77.698 eV per cell
D(E_F)   19.65 states/eV/cell
Formation energy from the elements   264.4 meV per atom



No. 7
Here is crystalline SrRe3O at its relaxed geometry from Alexandria. Energies are from PBE.

Cell and atoms, written as POSCAR:
```
SrRe3O
1.0
-2.274 -3.568 0.884
2.066 -2.101 -3.163
3.041 -1.242 2.810
Re Sr O
3 1 1
Direct
0.000 0.500 0.000 Re
0.000 0.000 0.500 Re
0.500 0.000 0.000 Re
0.500 0.500 0.500 Sr
0.000 0.000 0.000 O
```

Uncorrected energy   -38.884 eV per cell
Polymorph energy (0 for the lowest one)   0 meV per atom
D(E_F)   35.39 states/eV/cell
Formation energy without anion corrections   1.0201 eV per atom



No. 8
Here is crystalline RbTa3S at its relaxed geometry from Alexandria. Energies are from PBE.

Cell and atoms, written as POSCAR:
```
RbTa3S
1.0
4.776 0.000 0.000
0.000 4.776 0.000
0.000 0.000 4.776
S Ta Rb
1 3 1
Direct
0.000 0.000 0.000 S
0.000 0.000 0.500 Ta
0.500 0.000 0.000 Ta
0.000 0.500 0.000 Ta
0.500 0.500 0.500 Rb
```

Uncorrected energy   -35.133 eV per cell
Polymorph energy (0 for the lowest one)   0 meV per atom
D(E_F)   5.85 states/eV/cell
Formation energy without anion corrections   1.1039 eV per atom